VASP calculation (PBE) on an optimized crystal structure of Co2BOs.

## Properties
For the uncorrected energy, the calculation gives -7.442 eV/atom. The density of states at the Fermi level is 19.44 states/eV/cell.

abc: 3.176 3.176 17.912
angles: 90.00 90.00 90.00
Space group I-42d (No. 122)
One atom of each set of equivalent atoms:
Co1 0.233 0.250 0.125
B1 0.000 0.000 0.000
Os1 0.000 0.000 0.500

=====

VASP calculation (PBE) on an optimized crystal structure of CoB3Os.

## Properties
The distance to the lowest polymorph of the same formula comes out at 0.0113 eV/atom. The density of states at the Fermi level is 2.00 states/eV/cell.

abc: 3.672 3.672 3.672
angles: 90.00 90.00 90.00
Space group Pm-3m (No. 221)
One atom of each set of equivalent atoms:
Co1 0.000 0.000 0.000
B1 0.000 0.000 0.500
Os1 0.500 0.500 0.500

=====

VASP calculation (PBE) on an optimized crystal structure of CoB3Os.

## Properties
The distance to the lowest polymorph of the same formula comes out at 0.0000 eV/atom. The density of states at the Fermi level is 9.93 states/eV/cell.

abc: 4.033 4.033 4.033
angles: 90.00 90.00 90.00
Space group Pm-3m (No. 221)
One atom of each set of equivalent atoms:
Co1 0.000 0.000 0.000
B1 0.000 0.500 0.500
Os1 0.500 0.500 0.500

=====

VASP calculation (PBE) on an optimized crystal structure of Co2B2Os.

## Properties
For the uncorrected energy, the calculation gives -7.797 eV/atom. The density of states at the Fermi level is 11.53 states/eV/cell.

abc: 6.009 6.009 2.550
angles: 90.00 90.00 90.00
Space group P4/mbm (No. 127)
One atom of each set of equivalent atoms:
Co1 0.152 0.348 0.000
B1 0.143 0.643 0.500
Os1 0.000 0.000 0.500

=====

VASP calculation (PBE) on an optimized crystal structure of CoB2Os2.

## Properties
For the uncorrected energy, the calculation gives -8.494 eV/atom. The density of states at the Fermi level is 9.24 states/eV/cell.

abc: 6.049 6.049 2.820
angles: 90.00 90.00 90.00
Space group P4/mbm (No. 127)
One atom of each set of equivalent atoms:
Co1 0.000 0.000 0.000
B1 0.140 0.360 0.000
Os1 0.157 0.657 0.500

=====

VASP calculation (PBE) on an optimized crystal structure of PaCoB2Os2.

## Properties
For the uncorrected energy, the calculation gives -8.612 eV/atom. The density of states at the Fermi level is 6.54 states/eV/cell.

abc: 3.888 3.888 5.358
angles: 90.00 90.00 90.00
Space group P4/mmm (No. 123)
One atom of each set of equivalent atoms:
Pa1 0.000 0.000 0.000
Co1 0.000 0.000 0.500
B1 0.000 0.500 0.500
Os1 0.500 0.500 0.260

=====

VASP calculation (PBE) on an optimized crystal structure of Pa2Co3B12Os.

## Properties
For the uncorrected energy, the calculation gives -7.299 eV/atom. The density of states at the Fermi level is 39.66 states/eV/cell.

abc: 5.5880 5.5880 21.8739
angles: 90.00 90.00 120.00
Space group R-3m (No. 166, hexagonal axes)
One atom of each set of equivalent atoms:
Pa1 0.0000 0.0000 0.1340
Co1 0.0000 0.5000 0.0000
B1 0.0479 0.5240 0.0957
B2 0.1061 0.2122 0.7365
Os1 0.0000 0.0000 0.5000

=====

VASP calculation (PBE) on an optimized crystal structure of PaCoBOs2.

## Properties
For the uncorrected energy, the calculation gives -9.514 eV/atom. The density of states at the Fermi level is 2.17 states/eV/cell.

abc: 4.219 4.219 4.066
angles: 90.00 90.00 90.00
Space group P4/mmm (No. 123)
One atom of each set of equivalent atoms:
Pa1 0.000 0.000 0.000
Co1 0.500 0.500 0.000
B1 0.500 0.500 0.500
Os1 0.000 0.500 0.500

=====

VASP calculation (PBE) on an optimized crystal structure of Pa4Co12B3Os.

## Properties
For the uncorrected energy, the calculation gives -7.876 eV/atom. The density of states at the Fermi level is 44.19 states/eV/cell.

abc: 8.165 8.165 8.165
angles: 90.00 90.00 90.00
Space group Im-3m (No. 229)
One atom of each set of equivalent atoms:
Pa1 0.250 0.250 0.250
Co1 0.000 0.000 0.279
Co2 0.000 0.250 0.500
B1 0.000 0.000 0.500
Os1 0.000 0.000 0.000

=====

VASP calculation (PBE) on an optimized crystal structure of CoBOsPb2.

## Properties
For the uncorrected energy, the calculation gives -5.256 eV/atom. The density of states at the Fermi level is 5.62 states/eV/cell.

abc: 5.073 5.073 3.689
angles: 90.00 90.00 90.00
Space group P4/mmm (No. 123)
One atom of each set of equivalent atoms:
Co1 0.000 0.000 0.000
B1 0.000 0.000 0.500
Os1 0.500 0.500 0.500
Pb1 0.000 0.500 0.000

=====

VASP calculation (PBE) on an optimized crystal structure of CoBOs2Pd.

## Properties
For the uncorrected energy, the calculation gives -7.909 eV/atom. The density of states at the Fermi level is 6.64 states/eV/cell.

abc: 4.076 4.076 3.871
angles: 90.00 90.00 90.00
Space group P4/mmm (No. 123)
One atom of each set of equivalent atoms:
Co1 0.000 0.000 0.000
B1 0.000 0.000 0.500
Os1 0.000 0.500 0.500
Pd1 0.500 0.500 0.000

=====

VASP calculation (PBE) on an optimized crystal structure of PmCoB2Os.

## Properties
For the uncorrected energy, the calculation gives -7.750 eV/atom. The density of states at the Fermi level is 2.81 states/eV/cell.

abc: 3.796 3.796 9.853
angles: 90.00 90.00 90.00
Space group I-4m2 (No. 119)
One atom of each set of equivalent atoms:
Pm1 0.000 0.000 0.000
Co1 0.000 0.500 0.250
B1 0.000 0.000 0.334
Os1 0.000 0.500 0.750